DFT (GGA-PBE) results for a geometry-optimized VFeB2Br structure.

Computed properties:
ΔE_f (raw)	54.7	kcal/mol of atoms
symmetry	P4/mmm (123)
uncorrected energy	-20.8	eV/cell
D(E_F)	6.64	states/eV per cell
magnetic moment	3.21	Bohr magnetons per cell
calculated density	4.6	g/cm3

Unit cell a=4.1158 b=4.1158 c=4.4747 alpha=90.00 beta=90.00 gamma=90.00
Atoms (fractional coordinates):
1 V 0.0000 0.0000 0.0000
2 Fe 0.5000 0.5000 0.0000
3 B 0.0000 0.5000 0.5000
4 B 0.5000 0.0000 0.5000
5 Br 0.0000 0.0000 0.5000